<one>
Material: AlFePdW
Method: DFT, PBE
State: relaxed

The structure belongs to space group F-43m (No. 216); the cell edges are 6.1110, 6.1110 and 6.1110 Å and the angles 90.00°, 90.00° and 90.00°. Symmetry generates all atoms from Al at (0.0000, 0.0000, 0.0000), Fe at (0.2500, 0.2500, 0.2500), Pd at (0.2500, 0.2500, 0.7500) and W at (0.0000, 0.0000, 0.5000).

The spin magnetization is 0.3672 μB per atom.

***

<two>
Material: AlFePdW
Method: DFT, PBE
State: relaxed

The structure belongs to space group F-43m (No. 216); the cell edges are 6.1348, 6.1348 and 6.1348 Å and the angles 90.00°, 90.00° and 90.00°. Symmetry generates all atoms from Al at (0.0000, 0.0000, 0.0000), Fe at (0.2500, 0.2500, 0.2500), Pd at (0.0000, 0.0000, 0.5000) and W at (0.2500, 0.2500, 0.7500).

The spin magnetization is 0.3656 μB per atom.

***

The structure with the most favorable energy is <one>; the runner-up is 19.9 kJ/mol of atoms above it.

***

<one>
Material: PmAlFe
Method: DFT, PBE
State: relaxed

The structure belongs to space group F-43m (No. 216); the cell edges are 6.2677, 6.2677 and 6.2677 Å and the angles 90.00°, 90.00° and 90.00°. Symmetry generates all atoms from Pm at (0.0000, 0.0000, 0.0000), Al at (0.0000, 0.0000, 0.5000) and Fe at (0.2500, 0.2500, 0.7500).

The spin magnetization is 0.0095 μB per atom.

***

<two>
Material: PmAlFe
Method: DFT, PBE
State: relaxed

The structure belongs to space group F-43m (No. 216); the cell edges are 6.5767, 6.5767 and 6.5767 Å and the angles 90.00°, 90.00° and 90.00°. Symmetry generates all atoms from Pm at (0.0000, 0.0000, 0.0000), Al at (0.2500, 0.2500, 0.7500) and Fe at (0.2500, 0.2500, 0.2500).

The spin magnetization is 0.7968 μB per atom.

***

The structure with the most favorable energy is <one>; the runner-up is 70.2 kJ/mol of atoms above it.

***

<one>
Material: ZrAlFePt
Method: DFT, PBE
State: relaxed

The structure belongs to space group F-43m (No. 216); the cell edges are 6.4041, 6.4041 and 6.4041 Å and the angles 90.00°, 90.00° and 90.00°. Symmetry generates all atoms from Zr at (0.0000, 0.0000, 0.0000), Al at (0.2500, 0.2500, 0.2500), Fe at (0.0000, 0.0000, 0.5000) and Pt at (0.2500, 0.2500, 0.7500).

The spin magnetization is 0.7754 μB per atom.

***

<two>
Material: ZrAlFePt
Method: DFT, PBE
State: relaxed

The structure belongs to space group F-43m (No. 216); the cell edges are 6.3004, 6.3004 and 6.3004 Å and the angles 90.00°, 90.00° and 90.00°. Symmetry generates all atoms from Zr at (0.0000, 0.0000, 0.0000), Al at (0.0000, 0.0000, 0.5000), Fe at (0.2500, 0.2500, 0.7500) and Pt at (0.2500, 0.2500, 0.2500).

The spin magnetization is 0.2527 μB per atom.

***

The structure with the most favorable energy is <two>; the runner-up is 29.0 kJ/mol of atoms above it.

***

<one>
Material: RbAlFeS3
Method: DFT, PBE
State: relaxed

The structure belongs to space group Cmcm (No. 63); the cell edges are 3.6918, 15.0895 and 10.0674 Å and the angles 90.00°, 90.00° and 90.00°. Symmetry generates all atoms from Rb at (0.0000, 0.2452, 0.2500), Al at (0.0000, 0.0315, 0.7500), Fe at (0.0000, 0.5000, 0.0000), S at (0.0000, 0.1083, 0.5611) and S at (0.0000, 0.4399, 0.7500).

The spin magnetization is 0.6661 μB per atom.

***

<two>
Material: RbAlFeS3
Method: DFT, PBE
State: relaxed

The structure belongs to space group P2_1/m (No. 11); the cell edges are 8.7435, 3.5767 and 9.5541 Å and the angles 90.00°, 112.28° and 90.00°. Symmetry generates all atoms from Rb at (0.2153, 0.2500, 0.2430), Al at (0.3466, 0.7500, 0.8802), Fe at (0.0763, 0.2500, 0.5950), S at (0.1486, 0.2500, 0.8555), S at (0.2102, 0.7500, 0.5431) and S at (0.4790, 0.7500, 0.1456).

The spin magnetization is 0.5972 μB per atom.

***

The structure with the most favorable energy is <two>; the runner-up is 4.4 kJ/mol of atoms above it.

***

<one>
Material: RbAlFeTe3
Method: DFT, PBE
State: relaxed

The structure belongs to space group Cmcm (No. 63); the cell edges are 4.1168, 16.6634 and 11.3584 Å and the angles 90.00°, 90.00° and 90.00°. Symmetry generates all atoms from Rb at (0.0000, 0.2475, 0.2500), Al at (0.0000, 0.4659, 0.7500), Fe at (0.0000, 0.0000, 0.0000), Te at (0.0000, 0.0664, 0.7500) and Te at (0.0000, 0.3876, 0.5515).

The spin magnetization is 0.6392 μB per atom.

***

<two>
Material: RbAlFeTe3
Method: DFT, PBE
State: relaxed

The structure belongs to space group P2_1/m (No. 11); the cell edges are 9.9516, 4.0492 and 10.3198 Å and the angles 90.00°, 111.57° and 90.00°. Symmetry generates all atoms from Rb at (0.1960, 0.2500, 0.2334), Al at (0.3471, 0.7500, 0.8664), Fe at (0.0617, 0.2500, 0.5762), Te at (0.1436, 0.2500, 0.8511), Te at (0.2213, 0.7500, 0.5472) and Te at (0.4685, 0.7500, 0.1546).

The spin magnetization is 0.5846 μB per atom.

***

The structure with the most favorable energy is <two>; the runner-up is 6.0 kJ/mol of atoms above it.

***

<one>
Material: YAlFeRe
Method: DFT, PBE
State: relaxed

The structure belongs to space group F-43m (No. 216); the cell edges are 6.5035, 6.5035 and 6.5035 Å and the angles 90.00°, 90.00° and 90.00°. Symmetry generates all atoms from Y at (0.0000, 0.0000, 0.0000), Al at (0.2500, 0.2500, 0.2500), Fe at (0.0000, 0.0000, 0.5000) and Re at (0.2500, 0.2500, 0.7500).

The spin magnetization is 0.7466 μB per atom.

***

<two>
Material: YAlFeRe
Method: DFT, PBE
State: relaxed

The structure belongs to space group F-43m (No. 216); the cell edges are 6.4358, 6.4358 and 6.4358 Å and the angles 90.00°, 90.00° and 90.00°. Symmetry generates all atoms from Y at (0.0000, 0.0000, 0.0000), Al at (0.0000, 0.0000, 0.5000), Fe at (0.2500, 0.2500, 0.7500) and Re at (0.2500, 0.2500, 0.2500).

The spin magnetization is 0.6577 μB per atom.

***

The structure with the most favorable energy is <two>; the runner-up is 11.2 kJ/mol of atoms above it.